Compound: SrHf2H
Source: the Alexandria database
Functional: meta-GGA SCAN
Structure: single point on PBEsol structure

- Symmetry: Fm-3m (225)
- Calculated total energy: -36.10 eV per atom

```
data_SrHf2H
_cell_length_a 4.935
_cell_length_b 4.935
_cell_length_c 4.935
_cell_angle_alpha 60.00
_cell_angle_beta 60.00
_cell_angle_gamma 60.00
_space_group_name_H-M_alt 'P 1'
_space_group_IT_number 1
_space_group_name_Hall 'P 1'
loop_
_atom_site_label
_atom_site_type_symbol
_atom_site_fract_x
_atom_site_fract_y
_atom_site_fract_z
Sr1 Sr 0.500 0.500 0.500
Hf1 Hf 0.250 0.250 0.250
Hf2 Hf 0.750 0.750 0.750
H1 H 0.000 0.000 0.000
```



Compound: Ca2MnCr
Source: the Alexandria database
Functional: meta-GGA SCAN
Structure: single point on PBEsol structure

- Symmetry: F-43m (216)
- Calculated total energy: -13.57 eV per atom

```
data_Ca2MnCr
_cell_length_a 5.115
_cell_length_b 5.115
_cell_length_c 5.115
_cell_angle_alpha 60.00
_cell_angle_beta 60.00
_cell_angle_gamma 60.00
_space_group_name_H-M_alt 'P 1'
_space_group_IT_number 1
_space_group_name_Hall 'P 1'
loop_
_atom_site_label
_atom_site_type_symbol
_atom_site_fract_x
_atom_site_fract_y
_atom_site_fract_z
Cr1 Cr 0.500 0.500 0.500
Ca1 Ca 0.000 0.000 0.000
Ca2 Ca 0.250 0.250 0.250
Mn1 Mn 0.750 0.750 0.750
```



Compound: Mn2CrSe
Source: the Alexandria database
Functional: meta-GGA SCAN
Structure: single point on PBEsol structure

- Symmetry: R3m (160)
- Calculated total energy: -18.46 eV per atom
- Energy relative to the elements, uncorrected: 0.279 eV/atom

```
data_Mn2CrSe
_cell_length_a 2.768
_cell_length_b 2.768
_cell_length_c 7.711
_cell_angle_alpha 79.66
_cell_angle_beta 79.66
_cell_angle_gamma 60.00
_space_group_name_H-M_alt 'P 1'
_space_group_IT_number 1
_space_group_name_Hall 'P 1'
loop_
_atom_site_label
_atom_site_type_symbol
_atom_site_fract_x
_atom_site_fract_y
_atom_site_fract_z
Cr1 Cr 0.250 0.250 0.249
Mn1 Mn 0.000 0.000 0.999
Mn2 Mn 0.747 0.747 0.759
Se1 Se 0.502 0.502 0.493
```



Compound: ScCr2Br
Source: the Alexandria database
Functional: meta-GGA SCAN
Structure: single point on PBEsol structure

- Symmetry: Imm2 (44)
- Calculated total energy: -17.40 eV per atom
- Energy relative to the elements, uncorrected: 0.212 eV/atom

```
data_ScCr2Br
_cell_length_a 3.209
_cell_length_b 4.874
_cell_length_c 5.218
_cell_angle_alpha 117.84
_cell_angle_beta 107.91
_cell_angle_gamma 90.00
_space_group_name_H-M_alt 'P 1'
_space_group_IT_number 1
_space_group_name_Hall 'P 1'
loop_
_atom_site_label
_atom_site_type_symbol
_atom_site_fract_x
_atom_site_fract_y
_atom_site_fract_z
Br1 Br 0.279 0.779 0.559
Cr1 Cr 0.011 0.011 0.022
Cr2 Cr 0.706 0.206 0.412
Sc1 Sc 0.503 0.503 0.007
```



Question: Among the records above, which one has the lowest calculated total energy?
Answer: SrHf2H



Copy entry 2 word for word.
Compound: Ca2MnCr
Source: the Alexandria database
Functional: meta-GGA SCAN
Structure: single point on PBEsol structure

- Symmetry: F-43m (216)
- Calculated total energy: -13.57 eV per atom

```
data_Ca2MnCr
_cell_length_a 5.115
_cell_length_b 5.115
_cell_length_c 5.115
_cell_angle_alpha 60.00
_cell_angle_beta 60.00
_cell_angle_gamma 60.00
_space_group_name_H-M_alt 'P 1'
_space_group_IT_number 1
_space_group_name_Hall 'P 1'
loop_
_atom_site_label
_atom_site_type_symbol
_atom_site_fract_x
_atom_site_fract_y
_atom_site_fract_z
Cr1 Cr 0.500 0.500 0.500
Ca1 Ca 0.000 0.000 0.000
Ca2 Ca 0.250 0.250 0.250
Mn1 Mn 0.750 0.750 0.750
```



Question: calculated total energy of number 1 (SrHf2H)?
Answer: -36.10 eV per atom